Version A
First-principles (PBE) data for an optimized crystal structure of SrV3Ni, as listed in Alexandria via LeMat-Bulk.

Computed properties:
As for the density of states at the Fermi level: 7.43 states/eV per cell. The calculation puts the total moment at 4.37 μB per formula unit.

Unit cell a=4.6369 b=4.6369 c=4.6369 alpha=90.00 beta=90.00 gamma=90.00
Space group Pm-3m (No. 221)
One atom of each set of equivalent atoms:
Sr (0.0000, 0.0000, 0.0000) x1
V (0.0000, 0.5000, 0.5000) x3
Ni (0.5000, 0.5000, 0.5000) x1

---

Version B
First-principles (PBE) data for an optimized crystal structure of SrV3Ni, as listed in Alexandria via LeMat-Bulk.

Computed properties:
As for the density of states at the Fermi level: 8.92 states/eV per cell. The calculation puts the total moment at 0.69 μB per formula unit.

Unit cell a=4.4627 b=4.4627 c=4.4627 alpha=90.00 beta=90.00 gamma=90.00
Space group Pm-3m (No. 221)
One atom of each set of equivalent atoms:
Sr (0.0000, 0.0000, 0.0000) x1
V (0.0000, 0.0000, 0.5000) x3
Ni (0.5000, 0.5000, 0.5000) x1

---

Energy above the most stable structure, in meV/atom: version A 0; version B 1709